InFeIr2 | Alexandria via LeMat-Bulk | PBE | optimized geometry; density = 14.76 g cm⁻³; energy of formation = 266 meV per atom; total energy = -6.96 eV/atom; SG = F-43m
1.0
-2.455 -3.581 0.993
-0.128 -3.459 -2.802
1.990 -3.830 1.098
Ir Fe In
2 1 1
Cartesian
-0.444 -8.152 -0.533
0.000 0.000 0.000
-0.296 -5.435 -0.355
-0.148 -2.717 -0.178